(1)
A geometry-optimized Na2Cd2Bi structure. Source: Alexandria via LeMat-Bulk, functional PBE-GGA.

Lattice parameters (Å, degrees): 8.009 8.009 8.009 148.24 148.24 45.54
Atoms (fractional coordinates):
Na: 0.250 0.750 0.500
Na: 0.750 0.250 0.500
Cd: 0.097 0.097 0.000
Cd: 0.903 0.903 0.000
Bi: 0.500 0.500 0.000

Output
total magnetization: 0.00 μB/f.u.
symmetry: No. 139
relative energy among the computed polymorphs: 22.7 kJ per mole of atoms



(2)
A geometry-optimized SrNiPt2 structure. Source: Alexandria via LeMat-Bulk, functional PBE-GGA.

Lattice parameters (Å, degrees): 5.172 5.172 5.172 132.71 132.71 69.10
Atoms (fractional coordinates):
Sr: 0.000 0.000 0.000
Ni: 0.500 0.500 0.000
Pt: 0.250 0.750 0.500
Pt: 0.750 0.250 0.500

Output
total magnetization: 0.87 μB/f.u.
symmetry: No. 139



(3)
A geometry-optimized CrInW2 structure. Source: Alexandria via LeMat-Bulk, functional PBE-GGA.

Lattice parameters (Å, degrees): 5.199 5.199 5.199 143.67 128.36 64.77
Atoms (fractional coordinates):
Cr: 0.000 0.000 0.000
In: 0.255 0.755 0.500
W: 0.528 0.528 0.000
W: 0.776 0.276 0.500

Output
total magnetization: 0.00 μB/f.u.
symmetry: No. 44



Calculated formation energy from the elements, 0.04, -0.05, 0.48 eV per atom (same order as the records).
Calculated DOS(E_F), 2.159, 4.912, 3.194 states/eV/f.u. (same order as the records).